(1)
This record from Alexandria describes a geometry-optimized NaTiO3 structure. The functional is PBE.

a b c (Å): 7.227 7.227 7.227
angles (deg): 60.00 60.00 60.00
Element x y z (fractional)
Na 0.000 0.000 0.000
Na 0.000 0.000 0.500
Na 0.000 0.500 0.000
Na 0.500 0.000 0.000
Ti 0.000 0.500 0.500
Ti 0.500 0.000 0.500
Ti 0.500 0.500 0.000
Ti 0.500 0.500 0.500
O 0.177 0.177 0.573
O 0.177 0.573 0.177
O 0.177 0.573 0.573
O 0.427 0.427 0.823
O 0.427 0.823 0.427
O 0.427 0.823 0.823
O 0.573 0.177 0.177
O 0.573 0.177 0.573
O 0.573 0.573 0.177
O 0.823 0.427 0.427
O 0.823 0.427 0.823
O 0.823 0.823 0.427

Computed properties:
Space-group type: Fd-3m
Raw formation energy, eV/f.u.: -10.6



(2)
This record from Alexandria describes a geometry-optimized RbPaIn2Te4 structure. The functional is PBE.

a b c (Å): 8.584 8.576 6.511
angles (deg): 67.76 67.64 44.60
Element x y z (fractional)
Rb 0.000 0.000 0.000
Pa 0.750 0.750 0.750
In 0.250 0.250 0.250
In 0.500 0.500 0.500
Te 0.263 0.263 0.737
Te 0.550 0.550 0.950
Te 0.737 0.737 0.263
Te 0.950 0.950 0.550

Computed properties:
Space-group type: F222
Raw formation energy, eV/f.u.: -4.2



(3)
This record from Alexandria describes a geometry-optimized Pm4TmTl2 structure. The functional is PBE.

a b c (Å): 9.491 9.491 9.491
angles (deg): 34.18 34.18 34.18
Element x y z (fractional)
Pm 0.131 0.131 0.131
Pm 0.268 0.268 0.268
Pm 0.732 0.732 0.732
Pm 0.869 0.869 0.869
Tm 0.500 0.500 0.500
Tl 0.386 0.386 0.386
Tl 0.614 0.614 0.614

Computed properties:
Space-group type: R-3m
E_tot, eV/f.u.: -28.015



(4)
This record from Alexandria describes a geometry-optimized Zr2ReAs2 structure. The functional is PBE.

a b c (Å): 6.920 6.920 3.742
angles (deg): 90.00 90.00 90.00
Element x y z (fractional)
Zr 0.157 0.343 0.000
Zr 0.343 0.843 0.000
Zr 0.657 0.157 0.000
Zr 0.843 0.657 0.000
Re 0.000 0.000 0.500
Re 0.500 0.500 0.500
As 0.149 0.649 0.500
As 0.351 0.149 0.500
As 0.649 0.851 0.500
As 0.851 0.351 0.500

Computed properties:
Space-group type: P4/mbm
E_tot, eV/f.u.: -41.601



| no. | M_tot (Bohr magnetons per cell) |
| --- | --- |
| 1 | 4.00 |
| 2 | 0.13 |
| 3 | 0.00 |
| 4 | 0.00 |